Record 1
DFT (PBE) results for an optimized crystal structure of SiN.

a = 7.0657 Å, b = 7.0657 Å, c = 2.9294 Å
α = 90.00°, β = 90.00°, γ = 120.00°
Fractional positions:
N (0.3531, 0.3368, 0.2500)
N (0.9837, 0.6469, 0.2500)
Si (0.6927, 0.5441, 0.2500)
Si (0.4559, 0.1486, 0.2500)
N (0.0163, 0.3531, 0.7500)
Si (0.5441, 0.8514, 0.7500)
N (0.6632, 0.0163, 0.2500)
N (0.6469, 0.6632, 0.7500)
Si (0.3073, 0.4559, 0.7500)
Si (0.1486, 0.6927, 0.7500)
N (0.3368, 0.9837, 0.7500)
Si (0.8514, 0.3073, 0.2500)

Results
SG: No. 176
E above lowest polymorph: 360 meV per atom
uncorrected formation energy: -9.02 kcal/mol of atoms

---

Record 2
DFT (PBE) results for an optimized crystal structure of Zr3Pt.

a = 3.0835 Å, b = 5.5969 Å, c = 5.5969 Å
α = 116.71°, β = 79.42°, γ = 79.42°
Fractional positions:
Pt (0.0000, 0.0000, 0.0000)
Zr (0.0000, 0.5000, 0.5000)
Zr (0.5000, 0.0000, 0.5000)
Zr (0.5000, 0.5000, 0.0000)

Results
ΔE_f: -34.7 kJ/mol of atoms
SG: No. 166

---

Record 3
DFT (PBE) results for an optimized crystal structure of Y2AsP.

a = 4.9970 Å, b = 4.9970 Å, c = 4.9970 Å
α = 60.00°, β = 60.00°, γ = 60.00°
Fractional positions:
P (0.0000, 0.0000, 0.0000)
Y (0.7500, 0.7500, 0.7500)
As (0.5000, 0.5000, 0.5000)
Y (0.2500, 0.2500, 0.2500)

Results
ΔE_f: -101.9 kJ/mol of atoms
SG: No. 225

---

| no. | total magnetization (μB/f.u.) | VASP energy (eV per cell) |
| --- | --- | --- |
| 1 | 0.00 | -87.18 |
| 2 | 0.00 | -33.13 |
| 3 | 0.00 | -27.21 |